Density functional theory data (GGA-PBE) for a relaxed Tm4GaCuSe2 crystal.

extended XYZ file:
```
8
Lattice="6.752 0.000 0.000 0.000 3.879 0.000 -2.265 0.000 7.141" Properties=species:S:1:pos:R:3 pbc="T T T"
Tm 1.089 0.000 1.752
Tm -0.025 1.940 5.342
Tm 4.512 1.940 1.799
Tm 3.398 0.000 5.389
Ga 3.376 0.000 0.000
Cu 0.000 1.940 0.000
Se -1.132 0.000 3.571
Se 2.244 1.940 3.571
```

Crystal system: monoclinic
Space group: P2/m (10)
Volume (Å³/cell): 187
Electronic total energy (eV per atom): -5.01